VASP calculation (GGA+U) on a relaxed Cr2InHgO8 crystal.

Structure (extended XYZ):
```
12
Lattice="5.725 0.000 0.000 -2.862 4.958 0.000 0.000 0.000 6.884" Properties=species:S:1:pos:R:3 pbc="T T T"
Cr 0.000 3.305 5.028
Cr 2.862 1.653 1.856
In 0.000 0.000 0.000
Hg 0.000 0.000 3.442
O 0.000 1.686 5.532
O -1.403 4.115 5.532
O 1.403 4.115 5.532
O 1.460 0.843 1.353
O 2.862 1.653 3.468
O 0.000 3.305 3.416
O 2.862 3.272 1.353
O 4.265 0.843 1.353
```

Computed properties:
Uncorrected energy = -0.2150 Ha/atom
Mass density = 4.65 g/cm³
M_tot = 0.82 Bohr magnetons per cell